Here is a relaxed structure of TcBiIr from Alexandria. Energies are from PBE.

a b c (Å): 3.0783 3.0783 13.4871
angles (deg): 90.00 90.00 120.00
Space group P-6m2 (No. 187)
Inequivalent atoms, fractional coordinates:
Tc: 0.0000 0.0000 0.1469 (multiplicity 2)
Bi: 0.6667 0.3333 0.3266 (multiplicity 2)
Ir: 0.3333 0.6667 0.0000 (multiplicity 1)
Ir: 0.3333 0.6667 0.5000 (multiplicity 1)

For the density of states at the Fermi level, the calculation gives 4.97 states/eV per cell. The energy of formation from the pure elements comes out at 642 meV/atom. As for the volume: 18.45 Å³ per atom.

Here is a relaxed structure of TcBiTeIr2 from Alexandria. Energies are from PBE.

a b c (Å): 4.961 4.961 5.870
angles (deg): 90.00 90.00 90.00
Space group P4/mmm (No. 123)
Inequivalent atoms, fractional coordinates:
Tc: 0.000 0.000 0.000 (multiplicity 1)
Bi: 0.500 0.500 0.500 (multiplicity 1)
Te: 0.500 0.500 0.000 (multiplicity 1)
Ir: 0.000 0.500 0.500 (multiplicity 2)

For the density of states at the Fermi level, the calculation gives 3.50 states/eV per cell. Its raw total energy is -4.810 eV/atom. As for the volume: 28.89 Å³ per atom.